Below is a geometry-optimized NdMg structure, with properties calculated at the PBE-GGA level.

Cell lengths 7.7771, 7.7771, 7.7771 Å; angles 90.00, 90.00, 90.00 degrees
Space group Fd-3m (No. 227, origin choice 2)
Unique sites:
Nd  0.1250  0.1250  0.1250 x8
Mg  0.1250  0.1250  0.6250 x8

## Properties
The calculated density is 4.76 g cm⁻³. Its crystal system is cubic. The calculation puts the excess energy over the best structure of this formula in the dataset at 0.453 eV per formula unit.

***

Below is a geometry-optimized Cs2LiErI6 structure, with properties calculated at the PBE-GGA level.

Cell lengths 8.4938, 8.4938, 12.0286 Å; angles 90.00, 90.00, 90.00 degrees
Space group I4/mmm (No. 139)
Unique sites:
Cs  0.0000  0.5000  0.2500 x4
Li  0.0000  0.0000  0.0000 x2
Er  0.0000  0.0000  0.5000 x2
I  0.0000  0.0000  0.2504 x4
I  0.2500  0.2500  0.0000 x8

## Properties
The calculated density is 4.60 g cm⁻³. Its crystal system is tetragonal. Its total energy is -3.18 eV per atom.

***

Below is a geometry-optimized TmTcPb structure, with properties calculated at the PBE-GGA level.

Cell lengths 6.7632, 6.7632, 6.7632 Å; angles 90.00, 90.00, 90.00 degrees
Space group F-43m (No. 216)
Unique sites:
Tm  0.0000  0.0000  0.0000 x4
Tc  0.2500  0.2500  0.2500 x4
Pb  0.2500  0.2500  0.7500 x4

## Properties
The calculated density is 10.18 g cm⁻³. Its crystal system is cubic. The calculation puts the excess energy over the best structure of this formula in the dataset at 1.095 eV per formula unit.

***

Below is a geometry-optimized Nd2ThCd structure, with properties calculated at the PBE-GGA level.

Cell lengths 3.6611, 3.6611, 9.1327 Å; angles 90.00, 90.00, 90.00 degrees
Space group P4/mmm (No. 123)
Unique sites:
Nd  0.0000  0.0000  0.2344 x2
Th  0.5000  0.5000  0.5000 x1
Cd  0.5000  0.5000  0.0000 x1

## Properties
The calculated density is 8.59 g cm⁻³. Its crystal system is tetragonal. The value obtained for the formation energy is -0.68 eV per formula unit.

***

Below is a geometry-optimized Gd3CdIn2Pt2Au structure, with properties calculated at the PBE-GGA level.

Cell lengths 3.9286, 13.3790, 7.7715 Å; angles 90.00, 90.00, 90.00 degrees
Space group Amm2 (No. 38)
Unique sites:
Gd  0.0000  0.0000  0.0000 x2
Gd  0.0000  0.2039  0.6183 x4
Cd  0.5000  0.0000  0.6786 x2
In  0.5000  0.1314  0.2806 x4
Pt  0.5000  0.1685  0.9161 x4
Au  0.0000  0.0000  0.4125 x2

## Properties
The calculated density is 11.39 g cm⁻³. Its crystal system is orthorhombic. Its total energy is -4.85 eV per atom.

***

Below is a geometry-optimized Sc2CdTc structure, with properties calculated at the PBE-GGA level.

Cell lengths 3.3122, 3.3122, 7.1533 Å; angles 90.00, 90.00, 90.00 degrees
Space group P4/mmm (No. 123)
Unique sites:
Sc  0.0000  0.0000  0.2114 x2
Cd  0.5000  0.5000  0.5000 x1
Tc  0.5000  0.5000  0.0000 x1

## Properties
The calculated density is 6.35 g cm⁻³. Its crystal system is tetragonal. The value obtained for the formation energy is -1.27 eV per formula unit.

***

Below is a geometry-optimized Sc4CdAsN2 structure, with properties calculated at the PBE-GGA level.

Cell lengths 3.2699, 3.2699, 13.9353 Å; angles 90.00, 90.00, 120.00 degrees
Space group P-6m2 (No. 187)
Unique sites:
Sc  0.0000  0.0000  0.1455 x2
Sc  0.6667  0.3333  0.3201 x2
Cd  0.0000  0.0000  0.5000 x1
As  0.6667  0.3333  0.0000 x1
N  0.3333  0.6667  0.2323 x2

## Properties
The calculated density is 5.09 g cm⁻³. Its crystal system is hexagonal. Its total energy is -7.18 eV per atom.

***

Below is a geometry-optimized NaMgTeIr structure, with properties calculated at the PBE-GGA level.

Cell lengths 6.7830, 6.7830, 6.7830 Å; angles 90.00, 90.00, 90.00 degrees
Space group F-43m (No. 216)
Unique sites:
Na  0.0000  0.0000  0.0000 x4
Mg  0.0000  0.0000  0.5000 x4
Te  0.2500  0.2500  0.2500 x4
Ir  0.2500  0.2500  0.7500 x4

## Properties
The calculated density is 7.81 g cm⁻³. Its crystal system is cubic. The calculation puts the excess energy over the best structure of this formula in the dataset at 0.963 eV per formula unit.

***

Below is a geometry-optimized HfGaBi2 structure, with properties calculated at the PBE-GGA level.

Cell lengths 7.4431, 7.4431, 7.4431 Å; angles 90.00, 90.00, 90.00 degrees
Space group F-43m (No. 216)
Unique sites:
Hf  0.0000  0.0000  0.0000 x4
Ga  0.2500  0.2500  0.7500 x4
Bi  0.0000  0.0000  0.5000 x4
Bi  0.2500  0.2500  0.2500 x4

## Properties
The calculated density is 10.73 g cm⁻³. Its crystal system is cubic. Its total energy is -4.94 eV per atom.

***

Below is a geometry-optimized NbAl structure, with properties calculated at the PBE-GGA level.

Cell lengths 5.9501, 5.9501, 5.9501 Å; angles 90.00, 90.00, 90.00 degrees
Space group F-43m (No. 216)
Unique sites:
Nb  0.0000  0.0000  0.0000 x4
Al  0.2500  0.2500  0.2500 x4

## Properties
The calculated density is 3.78 g cm⁻³. Its crystal system is cubic. Its total energy is -5.17 eV per atom.

***

Below is a geometry-optimized KU structure, with properties calculated at the PBE-GGA level.

Cell lengths 3.1175, 3.1175, 7.1642 Å; angles 90.00, 90.00, 120.00 degrees
Space group P-6m2 (No. 187)
Unique sites:
K  0.0000  0.0000  0.0000 x1
U  0.6667  0.3333  0.5000 x1

## Properties
The calculated density is 7.63 g cm⁻³. Its crystal system is hexagonal. Its total energy is -5.08 eV per atom.

***

Below is a geometry-optimized SrZn2Cd structure, with properties calculated at the PBE-GGA level.

Cell lengths 7.0956, 7.0956, 7.0956 Å; angles 90.00, 90.00, 90.00 degrees
Space group F-43m (No. 216)
Unique sites:
Sr  0.0000  0.0000  0.0000 x4
Zn  0.0000  0.0000  0.5000 x4
Zn  0.2500  0.2500  0.7500 x4
Cd  0.2500  0.2500  0.2500 x4

## Properties
The calculated density is 6.15 g cm⁻³. Its crystal system is cubic. Its total energy is -1.36 eV per atom.

***

Below is a geometry-optimized LaGdB2Ir2N2 structure, with properties calculated at the PBE-GGA level.

Cell lengths 3.8176, 3.8176, 7.5526 Å; angles 90.00, 90.00, 90.00 degrees
Space group P4mm (No. 99)
Unique sites:
La  0.0000  0.0000  0.0000 x1
Gd  0.5000  0.5000  0.6668 x1
B  0.0000  0.0000  0.4827 x1
B  0.5000  0.5000  0.1813 x1
Ir  0.0000  0.5000  0.3363 x2
N  0.0000  0.0000  0.6801 x1
N  0.5000  0.5000  0.9821 x1

## Properties
The calculated density is 11.02 g cm⁻³. Its crystal system is tetragonal. Its total energy is -8.29 eV per atom.

***

Below is a geometry-optimized NbFePd4 structure, with properties calculated at the PBE-GGA level.

Cell lengths 2.7840, 3.8743, 8.2814 Å; angles 90.00, 90.00, 90.00 degrees
Space group Pmmm (No. 47)
Unique sites:
Nb  0.0000  0.0000  0.0000 x1
Fe  0.5000  0.5000  0.5000 x1
Pd  0.0000  0.0000  0.3411 x2
Pd  0.5000  0.5000  0.1712 x2

## Properties
The calculated density is 10.68 g cm⁻³. Its crystal system is orthorhombic. The value obtained for the formation energy is -1.44 eV per formula unit.

***

Below is a geometry-optimized Rb2Bi2Pd3 structure, with properties calculated at the PBE-GGA level.

Cell lengths 4.7195, 4.7195, 33.6522 Å; angles 90.00, 90.00, 120.00 degrees
Space group R3m (No. 160, hexagonal axes)
Unique sites:
Rb  0.0000  0.0000  0.0000 x3
Rb  0.0000  0.0000  0.4943 x3
Bi  0.0000  0.0000  0.2473 x3
Bi  0.0000  0.0000  0.7472 x3
Pd  0.0000  0.0000  0.3989 x3
Pd  0.0000  0.0000  0.5920 x3
Pd  0.0000  0.0000  0.9008 x3

## Properties
The calculated density is 6.97 g cm⁻³. Its crystal system is trigonal. Its total energy is -3.83 eV per atom.

***

Below is a geometry-optimized HfBePO structure, with properties calculated at the PBE-GGA level.

Cell lengths 3.5170, 3.5170, 7.9507 Å; angles 90.00, 90.00, 90.00 degrees
Space group P4/nmm (No. 129, origin choice 2)
Unique sites:
Hf  0.2500  0.2500  0.1556 x2
Be  0.2500  0.7500  0.5000 x2
P  0.2500  0.2500  0.6746 x2
O  0.2500  0.7500  0.0000 x2

## Properties
The calculated density is 7.92 g cm⁻³. Its crystal system is tetragonal. The calculation puts the excess energy over the best structure of this formula in the dataset at 0.341 eV per formula unit.

***

Below is a geometry-optimized InNi7 structure, with properties calculated at the PBE-GGA level.

Cell lengths 2.5315, 3.3877, 29.1431 Å; angles 90.00, 90.00, 90.00 degrees
Space group Pmmn (No. 59, origin choice 2)
Unique sites:
In  0.2500  0.2500  0.1611 x2
Ni  0.2500  0.2500  0.2629 x2
Ni  0.2500  0.2500  0.3495 x2
Ni  0.2500  0.2500  0.4353 x2
Ni  0.2500  0.2500  0.5213 x2
Ni  0.2500  0.2500  0.6078 x2
Ni  0.2500  0.2500  0.6942 x2
Ni  0.2500  0.2500  0.7800 x2

## Properties
The calculated density is 6.99 g cm⁻³. Its crystal system is orthorhombic. The calculation puts the excess energy over the best structure of this formula in the dataset at 0.000 eV per formula unit.

***

Below is a geometry-optimized HfFe2Sn structure, with properties calculated at the PBE-GGA level.

Cell lengths 6.4078, 6.4078, 6.4078 Å; angles 90.00, 90.00, 90.00 degrees
Space group F-43m (No. 216)
Unique sites:
Hf  0.0000  0.0000  0.0000 x4
Fe  0.0000  0.0000  0.5000 x4
Fe  0.2500  0.2500  0.2500 x4
Sn  0.2500  0.2500  0.7500 x4

## Properties
The calculated density is 10.32 g cm⁻³. Its crystal system is cubic. Its total energy is -7.56 eV per atom.

***

Below is a geometry-optimized AcThPa structure, with properties calculated at the PBE-GGA level.

Cell lengths 7.6562, 7.6562, 7.6562 Å; angles 90.00, 90.00, 90.00 degrees
Space group F-43m (No. 216)
Unique sites:
Ac  0.0000  0.0000  0.0000 x4
Th  0.0000  0.0000  0.5000 x4
Pa  0.2500  0.2500  0.2500 x4

## Properties
The calculated density is 10.21 g cm⁻³. Its crystal system is cubic. The value obtained for the formation energy is 3.10 eV per formula unit. The calculation puts the excess energy over the best structure of this formula in the dataset at 0.000 eV per formula unit.

***

Below is a geometry-optimized GdCo2GeB structure, with properties calculated at the PBE-GGA level.

Cell lengths 3.7489, 3.7489, 9.9369 Å; angles 90.00, 90.00, 90.00 degrees
Space group I4mm (No. 107)
Unique sites:
Gd  0.0000  0.0000  0.0000 x2
Co  0.0000  0.5000  0.2224 x4
Ge  0.0000  0.0000  0.3629 x2
B  0.0000  0.0000  0.6374 x2

## Properties
The calculated density is 8.53 g cm⁻³. Its crystal system is tetragonal. Its total energy is -6.56 eV per atom.

***

Below is a geometry-optimized Ag2Te2Pb structure, with properties calculated at the PBE-GGA level.

Cell lengths 7.8564, 11.1167, 6.3632 Å; angles 90.00, 90.00, 90.00 degrees
Space group Ibam (No. 72)
Unique sites:
Ag  0.1758  0.1266  0.0000 x8
Te  0.1866  0.1387  0.5000 x8
Pb  0.0000  0.5000  0.2500 x4

## Properties
The calculated density is 8.11 g cm⁻³. Its crystal system is orthorhombic. The calculation puts the excess energy over the best structure of this formula in the dataset at 0.943 eV per formula unit.

***

Below is a geometry-optimized Hf2BeAu structure, with properties calculated at the PBE-GGA level.

Cell lengths 6.5934, 6.5934, 6.5934 Å; angles 90.00, 90.00, 90.00 degrees
Space group F-43m (No. 216)
Unique sites:
Hf  0.0000  0.0000  0.0000 x4
Hf  0.2500  0.2500  0.2500 x4
Be  0.0000  0.0000  0.5000 x4
Au  0.2500  0.2500  0.7500 x4

## Properties
The calculated density is 13.05 g cm⁻³. Its crystal system is cubic. Its total energy is -6.45 eV per atom.

***

Below is a geometry-optimized AlCuAs2 structure, with properties calculated at the PBE-GGA level.

Cell lengths 6.4783, 6.4783, 6.4783 Å; angles 90.00, 90.00, 90.00 degrees
Space group F-43m (No. 216)
Unique sites:
Al  0.0000  0.0000  0.0000 x4
Cu  0.2500  0.2500  0.2500 x4
As  0.0000  0.0000  0.5000 x4
As  0.2500  0.2500  0.7500 x4

## Properties
The calculated density is 5.87 g cm⁻³. Its crystal system is cubic. Its total energy is -3.87 eV per atom.

***

Below is a geometry-optimized BaHo2Se3 structure, with properties calculated at the PBE-GGA level.

Cell lengths 4.1928, 4.1928, 10.6539 Å; angles 90.00, 90.00, 120.00 degrees
Space group P-3m1 (No. 164)
Unique sites:
Ba  0.0000  0.0000  0.0000 x1
Ho  0.3333  0.6667  0.6485 x2
Se  0.0000  0.0000  0.5000 x1
Se  0.3333  0.6667  0.2033 x2

## Properties
The calculated density is 7.21 g cm⁻³. Its crystal system is trigonal. Its total energy is -5.40 eV per atom.

***

Below is a geometry-optimized Th3Pt4 structure, with properties calculated at the PBE-GGA level.

Cell lengths 13.8038, 13.8038, 5.8388 Å; angles 90.00, 90.00, 120.00 degrees
Space group R-3 (No. 148, hexagonal axes)
Unique sites:
Th  0.0401  0.2095  0.2384 x18
Pt  0.0000  0.0000  0.0000 x3
Pt  0.0000  0.0000  0.5000 x3
Pt  0.0563  0.2761  0.7171 x18

## Properties
The calculated density is 15.27 g cm⁻³. Its crystal system is trigonal. The value obtained for the formation energy is -8.63 eV per formula unit.

***

Below is a geometry-optimized Lu3SiC structure, with properties calculated at the PBE-GGA level.

Cell lengths 3.5745, 12.1377, 9.2734 Å; angles 90.00, 90.00, 90.00 degrees
Space group Cmcm (No. 63)
Unique sites:
Lu  0.0000  0.0558  0.2500 x4
Lu  0.0000  0.3723  0.0504 x8
Si  0.0000  0.2523  0.7500 x4
C  0.0000  0.0000  0.0000 x4

## Properties
The calculated density is 9.33 g cm⁻³. Its crystal system is orthorhombic. Its total energy is -6.18 eV per atom.

***

Below is a geometry-optimized TaTl2Br structure, with properties calculated at the PBE-GGA level.

Cell lengths 3.3938, 5.8896, 19.1847 Å; angles 90.00, 90.00, 90.00 degrees
Space group Cmcm (No. 63)
Unique sites:
Ta  0.0000  0.1533  0.2500 x4
Tl  0.0000  0.4706  0.1303 x8
Br  0.0000  0.0000  0.0000 x4

## Properties
The calculated density is 11.60 g cm⁻³. Its crystal system is orthorhombic. Its total energy is -4.08 eV per atom.